SrSmTe3Au | the Open Quantum Materials Database | PBE | relaxed; VASP energy = -4.344 eV/atom; volume = 387 Å³/cell
1.0
10.117 -2.201 0.000
10.117 2.201 0.000
-1.712 0.000 8.694
Te Sm Au Sr
6 2 2 2
Cartesian
12.438 0.000 7.388 Te
5.424 0.000 5.638 Te
13.098 0.000 3.057 Te
6.083 0.000 1.307 Te
-0.856 0.000 4.347 Te
10.117 0.000 0.000 Te
2.249 0.000 5.132 Sm
16.273 0.000 3.563 Sm
8.567 0.000 2.500 Au
9.955 0.000 6.195 Au
16.175 0.000 8.061 Sr
2.347 0.000 0.633 Sr


SrSmTe3Au | the Open Quantum Materials Database | PBE | relaxed; VASP energy = -4.379 eV/atom; volume = 382 Å³/cell
1.0
8.555 0.000 0.000
0.000 4.366 0.000
-2.927 0.000 10.218
Au Sm Te Sr
2 2 6 2
Cartesian
0.532 1.091 1.000 Au
5.096 3.274 9.217 Au
3.937 1.091 6.844 Sm
1.691 3.274 3.374 Sm
6.153 3.274 6.649 Te
3.334 1.091 9.869 Te
2.294 3.274 0.348 Te
3.922 1.091 3.670 Te
1.706 3.274 6.548 Te
-0.525 1.091 3.569 Te
-0.307 1.091 8.061 Sr
5.935 3.274 2.157 Sr


TbSmAu | the Open Quantum Materials Database | PBE | relaxed; calculated formation energy = -0.6109 eV per atom; excess energy over the best structure of this formula in the dataset = 0.000 eV per formula unit; volume = 326 Å³/cell
1.0
7.201 0.000 0.000
0.000 5.010 0.000
0.000 0.000 9.024
Sm Tb Au
4 4 4
Cartesian
3.678 1.252 1.596 Sm
3.522 3.757 7.428 Sm
7.123 3.757 6.108 Sm
0.078 1.252 2.916 Sm
6.121 3.757 0.744 Tb
4.680 1.252 5.256 Tb
2.520 3.757 3.768 Tb
1.080 1.252 8.279 Tb
5.422 3.757 3.633 Au
5.379 1.252 8.145 Au
1.822 3.757 0.879 Au
1.779 1.252 5.391 Au


TbSmAu | the Open Quantum Materials Database | PBE | relaxed; calculated formation energy = 0.1490 eV per atom; excess energy over the best structure of this formula in the dataset = 2.279 eV per formula unit; volume = 83 Å³/cell
1.0
0.000 3.467 3.467
3.467 0.000 3.467
3.467 3.467 0.000
Au Tb Sm
1 1 1
Cartesian
1.733 1.733 1.733 Au
5.200 5.200 5.200 Tb
0.000 0.000 0.000 Sm